No. 1
LaReAs2Br, relaxed, DFT GGA-PBE; space-group type = P4/mmm; N(E_F) = 4.30 states/eV/cell; polymorph energy (0 for the lowest one) = 1.39 eV/f.u.; ΔE_f (raw) = -0.16 eV/atom; VASP energy = -5.8329 eV/atom
1.0
-3.974 2.554 -0.910
-1.980 -3.838 -2.119
-2.039 -1.516 4.651
As Re Br La
2 1 1 1
direct
0.500 0.000 0.000
0.000 0.500 0.000
0.000 0.000 0.000
0.000 0.000 0.500
0.500 0.500 0.500

No. 2
La4AsRhBr2, relaxed, DFT GGA-PBE; space-group type = P2/m; N(E_F) = 7.57 states/eV/cell; ΔE_f (raw) = -1.30 eV/atom; VASP energy = -5.6856 eV/atom
1.0
-2.546 1.263 3.062
1.984 -6.192 4.204
4.976 5.733 1.773
La Br As Rh
4 2 1 1
direct
0.500 0.781 0.796
0.000 0.743 0.219
0.000 0.257 0.781
0.500 0.219 0.204
0.000 0.500 0.500
0.500 0.000 0.500
0.500 0.500 0.000
0.000 0.000 0.000

No. 3
La2AsRhBr, relaxed, DFT GGA-PBE; space-group type = P4/mmm; N(E_F) = 2.33 states/eV/cell; ΔE_f (raw) = -0.66 eV/atom; VASP energy = -5.3644 eV/atom
1.0
-5.205 1.847 -0.234
-1.588 -4.316 1.237
0.268 1.430 5.333
As Br La Rh
1 1 2 1
direct
0.500 0.500 0.500
0.000 0.500 0.000
0.000 0.000 0.500
0.500 0.000 0.000
0.000 0.000 0.000

No. 4
LaAsRuBr2, relaxed, DFT GGA-PBE; space-group type = P4/mmm; N(E_F) = 12.01 states/eV/cell; polymorph energy (0 for the lowest one) = 3.82 eV/f.u.; ΔE_f (raw) = 0.36 eV/atom; VASP energy = -4.0757 eV/atom
1.0
-3.477 2.895 -3.465
-1.176 -4.803 -2.832
-4.539 -1.055 3.673
La Ru Br As
1 1 2 1
direct
0.000 0.000 0.000
0.500 0.500 0.500
0.500 0.000 0.000
0.000 0.500 0.000
0.000 0.000 0.500

No. 5
LaAsRuBr2, relaxed, DFT GGA-PBE; space-group type = P4/mmm; N(E_F) = 4.14 states/eV/cell; polymorph energy (0 for the lowest one) = 1.50 eV/f.u.; ΔE_f (raw) = -0.10 eV/atom; VASP energy = -4.5394 eV/atom
1.0
-3.834 -1.003 2.918
3.369 -2.487 3.572
0.668 4.274 2.346
Ru Br As La
1 2 1 1
direct
0.000 0.000 0.000
0.500 0.000 0.000
0.000 0.000 0.500
0.500 0.500 0.500
0.000 0.500 0.000

No. 6
LaAsRuBr2, relaxed, DFT GGA-PBE; space-group type = P4/mmm; N(E_F) = 3.95 states/eV/cell; polymorph energy (0 for the lowest one) = 0.00 eV/f.u.; ΔE_f (raw) = -0.40 eV/atom; VASP energy = -4.8397 eV/atom
1.0
-0.002 -4.751 -1.703
1.300 -1.646 4.590
-4.702 -0.421 1.181
Br Ru La As
2 1 1 1
direct
0.000 0.500 0.000
0.500 0.000 0.000
0.000 0.000 0.000
0.500 0.500 0.500
0.000 0.000 0.500